A relaxed La3Si3Ir crystal, computed with GGA-PBE.

Lattice parameters (Å, degrees): 6.1014 6.1014 14.0660 107.12 107.12 41.64
With the nearest neighbours (Å) after each atom.
Element x y z (fractional)
La 0.0251 0.0251 0.3875  5 Si 3.14-3.17, 4 Ir 3.23-3.51, 1 La 3.39
La 0.1088 0.1088 0.9188  7 Si 3.10-3.36
La 0.2457 0.2457 0.2272  2 Ir 3.08, 6 Si 3.12-3.42
La 0.7543 0.7543 0.7728  2 Ir 3.08, 6 Si 3.12-3.42
La 0.8912 0.8912 0.0812  7 Si 3.10-3.36
La 0.9749 0.9749 0.6125  5 Si 3.14-3.17, 4 Ir 3.23-3.51, 1 La 3.39
Si 0.3184 0.3184 0.4607  3 Ir 2.48-2.51
Si 0.4064 0.4064 0.9280  2 Si 2.44-2.47
Si 0.4529 0.4529 0.7676  1 Si 2.47, 1 Ir 2.51
Si 0.5471 0.5471 0.2324  1 Si 2.47, 1 Ir 2.51
Si 0.5936 0.5936 0.0720  2 Si 2.44-2.47
Si 0.6816 0.6816 0.5393  3 Ir 2.48-2.51
Ir 0.2604 0.2604 0.6188  4 Si 2.48-2.51
Ir 0.7396 0.7396 0.3812  4 Si 2.48-2.51

Output
M_tot = 0.00 μB per atom
formation energy from raw total energies = -0.82 eV/atom
calculated total energy = -6.52 eV/atom
SG = C2/m (12)
Fermi-level density of states = 0.684 states/eV per atom

A relaxed LaSi2Ir4 crystal, computed with GGA-PBE.

Lattice parameters (Å, degrees): 7.7268 7.7268 3.8736 90.00 90.00 90.00
With the nearest neighbours (Å) after each atom.
Element x y z (fractional)
La 0.0000 0.0000 0.0000  6 Si 2.97-3.15, 8 Ir 3.31
La 0.5000 0.5000 0.5000  6 Si 2.97-3.15, 8 Ir 3.31
Si 0.2278 0.2278 0.5000  6 Ir 2.50-2.51
Si 0.2722 0.7278 0.0000  6 Ir 2.50-2.51
Si 0.7278 0.2722 0.0000  6 Ir 2.50-2.51
Si 0.7722 0.7722 0.5000  6 Ir 2.50-2.51
Ir 0.0766 0.6619 0.5000  3 Si 2.50-2.51, 5 Ir 2.75-2.77
Ir 0.1619 0.4234 0.0000  3 Si 2.50-2.51, 5 Ir 2.75-2.77
Ir 0.3381 0.9234 0.5000  3 Si 2.50-2.51, 5 Ir 2.75-2.77
Ir 0.4234 0.1619 0.0000  3 Si 2.50-2.51, 5 Ir 2.75-2.77
Ir 0.5766 0.8381 0.0000  3 Si 2.50-2.51, 5 Ir 2.75-2.77
Ir 0.6619 0.0766 0.5000  3 Si 2.50-2.51, 5 Ir 2.75-2.77
Ir 0.8381 0.5766 0.0000  3 Si 2.50-2.51, 5 Ir 2.75-2.77
Ir 0.9234 0.3381 0.5000  3 Si 2.50-2.51, 5 Ir 2.75-2.77

Output
M_tot = 0.00 μB per atom
formation energy from raw total energies = -0.76 eV/atom
calculated total energy = -8.07 eV/atom
SG = P4_2/mnm (136)
Fermi-level density of states = 0.564 states/eV per atom

A relaxed LaSi3Ir3 crystal, computed with GGA-PBE.

Lattice parameters (Å, degrees): 6.5796 6.5796 6.5796 90.00 90.00 90.00
With the nearest neighbours (Å) after each atom.
Element x y z (fractional)
La 0.0000 0.0000 0.0000  12 Ir 3.68, 12 Si 3.68
La 0.5000 0.5000 0.5000  12 Ir 3.68, 12 Si 3.68
Si 0.0000 0.2500 0.5000  4 Ir 2.33
Si 0.0000 0.7500 0.5000  4 Ir 2.33
Si 0.2500 0.5000 0.0000  4 Ir 2.33
Si 0.5000 0.0000 0.2500  4 Ir 2.33
Si 0.5000 0.0000 0.7500  4 Ir 2.33
Si 0.7500 0.5000 0.0000  4 Ir 2.33
Ir 0.0000 0.5000 0.2500  4 Si 2.33
Ir 0.0000 0.5000 0.7500  4 Si 2.33
Ir 0.2500 0.0000 0.5000  4 Si 2.33
Ir 0.5000 0.2500 0.0000  4 Si 2.33
Ir 0.5000 0.7500 0.0000  4 Si 2.33
Ir 0.7500 0.0000 0.5000  4 Si 2.33

Output
M_tot = 0.00 μB per atom
formation energy from raw total energies = -0.55 eV/atom
E above lowest polymorph = 0.49 eV/f.u.
calculated total energy = -7.38 eV/atom
SG = Pm-3n (223)
Fermi-level density of states = 0.749 states/eV per atom

A relaxed LaSi2Ir crystal, computed with GGA-PBE.

Lattice parameters (Å, degrees): 5.0733 5.0733 5.0733 129.08 129.08 74.89
With the nearest neighbours (Å) after each atom.
Element x y z (fractional)
La 0.0000 0.0000 0.0000  4 Ir 2.97, 8 Si 2.97-3.08
Si 0.2500 0.7500 0.5000  4 Si 2.97, 4 La 2.97, 4 Ir 3.08
Si 0.5000 0.5000 0.0000  4 Ir 2.97, 4 Si 2.97, 4 La 3.08
Ir 0.7500 0.2500 0.5000  8 Si 2.97-3.08, 4 La 2.97

Output
M_tot = 0.00 μB per atom
formation energy from raw total energies = -0.06 eV/atom
calculated total energy = -6.22 eV/atom
SG = I-4m2 (119)
Fermi-level density of states = 0.574 states/eV per atom

A relaxed LaSi2Ir crystal, computed with GGA-PBE.

Lattice parameters (Å, degrees): 6.3524 6.3524 6.3524 146.45 145.27 49.06
With the nearest neighbours (Å) after each atom.
Element x y z (fractional)
La 0.0000 0.0000 0.0000  6 Si 3.02-3.33, 2 Ir 3.34
Si 0.2634 0.7634 0.5000  2 Si 2.47, 4 Ir 2.64
Si 0.6267 0.6267 0.0000  2 Ir 2.39, 2 Si 2.47
Ir 0.7588 0.2588 0.5000  6 Si 2.39-2.64

Output
M_tot = 0.00 μB per atom
formation energy from raw total energies = -0.48 eV/atom
calculated total energy = -6.64 eV/atom
SG = Imm2 (44)
Fermi-level density of states = 0.632 states/eV per atom

A relaxed LaSi2Ir crystal, computed with GGA-PBE.

Lattice parameters (Å, degrees): 8.9200 8.9200 8.9200 20.16 20.16 20.16
With the nearest neighbours (Å) after each atom.
Element x y z (fractional)
La 0.0000 0.0000 0.0000  6 La 3.12, 3 Si 3.15, 3 Ir 3.22
Si 0.5013 0.5013 0.5013  3 Ir 2.45, 3 Si 2.56
Si 0.7651 0.7651 0.7651  3 Si 2.56
Ir 0.2313 0.2313 0.2313  3 Si 2.45

Output
M_tot = 0.00 μB per atom
formation energy from raw total energies = 0.07 eV/atom
calculated total energy = -6.09 eV/atom
SG = R3m (160)
Fermi-level density of states = 0.900 states/eV per atom

A relaxed La2Si7Ir12 crystal, computed with GGA-PBE.

Lattice parameters (Å, degrees): 9.8352 9.8352 3.9141 90.00 90.00 120.00
With the nearest neighbours (Å) after each atom.
Element x y z (fractional)
La 0.0000 0.0000 0.0000  6 Si 3.13, 12 Ir 3.18-3.49
La 0.3333 0.6667 0.5000  6 Si 3.12, 9 Ir 3.15-3.44
Si 0.0677 0.4453 0.0000  7 Ir 2.39-2.55
Si 0.2659 0.2243 0.5000  7 Ir 2.41-2.53
Si 0.3776 0.9323 0.0000  7 Ir 2.39-2.55
Si 0.5547 0.6224 0.0000  7 Ir 2.39-2.55
Si 0.6667 0.3333 0.0000  3 Ir 2.30
Si 0.7757 0.0417 0.5000  7 Ir 2.41-2.53
Si 0.9583 0.7341 0.5000  7 Ir 2.41-2.53
Ir 0.0494 0.2757 0.5000  4 Si 2.42-2.52
Ir 0.1086 0.7121 0.0000  4 Si 2.44-2.53
Ir 0.2263 0.9506 0.5000  4 Si 2.42-2.52
Ir 0.2879 0.3965 0.0000  4 Si 2.44-2.53
Ir 0.3967 0.1841 0.0000  4 Si 2.30-2.48
Ir 0.5294 0.4444 0.5000  3 Si 2.41-2.55
Ir 0.5556 0.0850 0.5000  3 Si 2.41-2.55
Ir 0.6035 0.8914 0.0000  4 Si 2.44-2.53
Ir 0.7243 0.7737 0.5000  4 Si 2.42-2.52
Ir 0.7873 0.6033 0.0000  4 Si 2.30-2.48
Ir 0.8159 0.2127 0.0000  4 Si 2.30-2.48
Ir 0.9150 0.4706 0.5000  3 Si 2.41-2.55

Output
M_tot = 0.00 μB per atom
formation energy from raw total energies = -0.81 eV/atom
calculated total energy = -8.15 eV/atom
SG = P-6 (174)
Fermi-level density of states = 0.342 states/eV per atom

A relaxed LaSi2Ir crystal, computed with GGA-PBE.

Lattice parameters (Å, degrees): 3.0772 4.1669 6.0681 90.00 90.13 90.00
With the nearest neighbours (Å) after each atom.
Element x y z (fractional)
La 0.0000 0.0000 0.0000  2 La 3.08, 8 Si 3.15, 4 Ir 3.40
Si 0.4970 0.5000 0.7042  2 Ir 2.42, 1 Si 2.48
Si 0.5030 0.5000 0.2958  2 Ir 2.42, 1 Si 2.48
Ir 0.5000 0.0000 0.5000  4 Si 2.42

Output
M_tot = 0.00 μB per atom
formation energy from raw total energies = -0.49 eV/atom
calculated total energy = -6.65 eV/atom
SG = P2/m (10)
Fermi-level density of states = 0.736 states/eV per atom

A relaxed La3SiIr3 crystal, computed with GGA-PBE.

Lattice parameters (Å, degrees): 5.8880 5.8880 14.9886 108.61 108.61 41.31
With the nearest neighbours (Å) after each atom.
Element x y z (fractional)
La 0.0140 0.0140 0.3805  5 Ir 3.03-3.25, 3 Si 3.12-3.19
La 0.1053 0.1053 0.9263  7 Ir 2.99-3.26
La 0.2373 0.2373 0.2201  5 Ir 2.95-3.27, 2 Si 3.30
La 0.7627 0.7627 0.7799  5 Ir 2.95-3.27, 2 Si 3.30
La 0.8947 0.8947 0.0737  7 Ir 2.99-3.26
La 0.9860 0.9860 0.6195  5 Ir 3.03-3.25, 3 Si 3.12-3.19
Si 0.2710 0.2710 0.6107  4 Ir 2.37-2.48
Si 0.7290 0.7290 0.3893  4 Ir 2.37-2.48
Ir 0.3151 0.3151 0.4590  3 Si 2.37-2.48
Ir 0.3761 0.3761 0.9243  2 Ir 2.89-2.92, 5 La 2.95-3.01
Ir 0.4573 0.4573 0.7583  1 Si 2.45
Ir 0.5427 0.5427 0.2417  1 Si 2.45
Ir 0.6239 0.6239 0.0757  2 Ir 2.89-2.92, 5 La 2.95-3.01
Ir 0.6849 0.6849 0.5410  3 Si 2.37-2.48

Output
M_tot = 0.00 μB per atom
formation energy from raw total energies = -0.80 eV/atom
calculated total energy = -7.48 eV/atom
SG = C2/m (12)
Fermi-level density of states = 0.535 states/eV per atom

A relaxed La2Si6Ir9 crystal, computed with GGA-PBE.

Lattice parameters (Å, degrees): 5.6966 5.6966 10.7624 90.00 90.00 120.00
With the nearest neighbours (Å) after each atom.
Element x y z (fractional)
La 0.0000 0.0000 0.1937  12 Ir 3.23-3.53, 6 Si 3.30
La 0.0000 0.0000 0.8063  12 Ir 3.23-3.53, 6 Si 3.30
Si 0.3333 0.6667 0.1663  6 Ir 2.43-2.44
Si 0.3333 0.6667 0.5000  6 Ir 2.43
Si 0.3333 0.6667 0.8337  6 Ir 2.43-2.44
Si 0.6667 0.3333 0.1663  6 Ir 2.43-2.44
Si 0.6667 0.3333 0.5000  6 Ir 2.43
Si 0.6667 0.3333 0.8337  6 Ir 2.43-2.44
Ir 0.0000 0.5000 0.0000  4 Si 2.43
Ir 0.0000 0.5000 0.3342  4 Si 2.43-2.44
Ir 0.0000 0.5000 0.6658  4 Si 2.43-2.44
Ir 0.5000 0.0000 0.0000  4 Si 2.43
Ir 0.5000 0.0000 0.3342  4 Si 2.43-2.44
Ir 0.5000 0.0000 0.6658  4 Si 2.43-2.44
Ir 0.5000 0.5000 0.0000  4 Si 2.43
Ir 0.5000 0.5000 0.3342  4 Si 2.43-2.44
Ir 0.5000 0.5000 0.6658  4 Si 2.43-2.44

Output
M_tot = 0.00 μB per atom
formation energy from raw total energies = -0.72 eV/atom
calculated total energy = -7.91 eV/atom
SG = P6/mmm (191)
Fermi-level density of states = 0.245 states/eV per atom

A relaxed LaSiIr crystal, computed with GGA-PBE.

Lattice parameters (Å, degrees): 6.2352 6.2352 6.2352 150.67 150.67 41.96
With the nearest neighbours (Å) after each atom.
Element x y z (fractional)
La 0.0000 0.0000 0.0000  4 La 3.16, 5 Ir 3.22-3.51, 5 Si 3.25-3.46
Si 0.7025 0.7025 0.0000  4 Ir 2.51
Ir 0.3011 0.3011 0.0000  4 Si 2.51

Output
M_tot = 0.00 μB per atom
formation energy from raw total energies = -0.55 eV/atom
calculated total energy = -6.96 eV/atom
SG = I4mm (107)
Fermi-level density of states = 0.819 states/eV per atom

A relaxed LaSiIr crystal, computed with GGA-PBE.

Lattice parameters (Å, degrees): 6.4272 6.4272 6.4272 90.00 90.00 90.00
With the nearest neighbours (Å) after each atom.
Element x y z (fractional)
La 0.1351 0.1351 0.1351  4 Ir 3.15-3.24, 4 Si 3.28-3.33
La 0.3649 0.8649 0.6351  4 Ir 3.15-3.24, 4 Si 3.28-3.33
La 0.6351 0.3649 0.8649  4 Ir 3.15-3.24, 4 Si 3.28-3.33
La 0.8649 0.6351 0.3649  4 Ir 3.15-3.24, 4 Si 3.28-3.33
Si 0.1595 0.3405 0.6595  3 Ir 2.34
Si 0.3405 0.6595 0.1595  3 Ir 2.34
Si 0.6595 0.1595 0.3405  3 Ir 2.34
Si 0.8405 0.8405 0.8405  3 Ir 2.34
Ir 0.0738 0.5738 0.9262  3 Si 2.34
Ir 0.4262 0.4262 0.4262  3 Si 2.34
Ir 0.5738 0.9262 0.0738  3 Si 2.34
Ir 0.9262 0.0738 0.5738  3 Si 2.34

Output
M_tot = 0.00 μB per atom
formation energy from raw total energies = -0.99 eV/atom
calculated total energy = -7.39 eV/atom
SG = P2_13 (198)
Fermi-level density of states = 0.741 states/eV per atom